{"formula": "CrCdBiF2", "functional": "PBE with a Hubbard U", "state": "optimized geometry", "cell": [[4.242, 0.000, 0.000], [0.000, 4.242, 0.000], [0.000, 0.000, 6.766]], "species": ["Cr", "Cd", "Bi", "F", "F"], "frac_coords": [[0.000, 0.000, 0.000], [0.000, 0.000, 0.500], [0.500, 0.500, 0.000], [0.000, 0.500, 0.500], [0.500, 0.000, 0.500]], "e_tot_ev_per_atom": -3.99}